The following is a DFT calculation (PBE-GGA) of crystalline Sr2LiLa at its relaxed geometry. Values from VASP.

The structure in Quantum ESPRESSO input format:
```
&SYSTEM
  ibrav = 0, nat = 8, ntyp = 3
/
ATOMIC_SPECIES
Sr 87.62 Sr.upf
Li 6.94 Li.upf
La 138.91 La.upf
ATOMIC_POSITIONS crystal
Sr 0.077 0.125 0.452
Sr 0.375 0.923 0.048
Sr 0.673 0.625 0.548
Sr 0.875 0.327 0.952
Li 0.000 0.000 0.000
Li 0.750 0.250 0.500
La 0.250 0.750 0.500
La 0.500 0.500 0.000
CELL_PARAMETERS angstrom
-4.712 4.712 3.687
4.712 -4.712 3.687
4.712 4.712 -3.687
```

As for the space group: No. 122.


The following is a DFT calculation (PBE-GGA) of crystalline SrLi2La at its relaxed geometry. Values from VASP.

The structure in Quantum ESPRESSO input format:
```
&SYSTEM
  ibrav = 0, nat = 8, ntyp = 3
/
ATOMIC_SPECIES
Sr 87.62 Sr.upf
Li 6.94 Li.upf
La 138.91 La.upf
ATOMIC_POSITIONS crystal
Sr 0.000 0.000 0.000
Sr 0.750 0.250 0.500
Li 0.131 0.625 0.006
Li 0.375 0.381 0.506
Li 0.619 0.125 0.994
Li 0.875 0.869 0.494
La 0.250 0.750 0.500
La 0.500 0.500 0.000
CELL_PARAMETERS angstrom
-4.359 4.359 3.583
4.359 -4.359 3.583
4.359 4.359 -3.583
```

As for the space group: No. 122.


The following is a DFT calculation (PBE-GGA) of crystalline SrLi2La at its relaxed geometry. Values from VASP.

The structure in Quantum ESPRESSO input format:
```
&SYSTEM
  ibrav = 0, nat = 4, ntyp = 3
/
ATOMIC_SPECIES
Sr 87.62 Sr.upf
Li 6.94 Li.upf
La 138.91 La.upf
ATOMIC_POSITIONS crystal
Sr 0.000 0.000 0.000
Li 0.500 0.500 0.000
Li 0.750 0.250 0.500
La 0.250 0.750 0.500
CELL_PARAMETERS angstrom
-2.403 2.403 5.850
2.403 -2.403 5.850
2.403 2.403 -5.850
```

As for the space group: No. 119.


The following is a DFT calculation (PBE-GGA) of crystalline SrLi2La at its relaxed geometry. Values from VASP.

The structure in Quantum ESPRESSO input format:
```
&SYSTEM
  ibrav = 0, nat = 4, ntyp = 3
/
ATOMIC_SPECIES
Sr 87.62 Sr.upf
Li 6.94 Li.upf
La 138.91 La.upf
ATOMIC_POSITIONS crystal
Sr 0.000 0.000 0.000
Li 0.238 0.238 0.814
Li 0.552 0.552 0.541
La 0.795 0.795 0.358
CELL_PARAMETERS angstrom
6.278 -1.850 0.000
6.278 1.850 0.000
-1.976 0.000 5.631
```

As for the space group: No. 8.


The following is a DFT calculation (PBE-GGA) of crystalline SrLi2La at its relaxed geometry. Values from VASP.

The structure in Quantum ESPRESSO input format:
```
&SYSTEM
  ibrav = 0, nat = 4, ntyp = 3
/
ATOMIC_SPECIES
Sr 87.62 Sr.upf
Li 6.94 Li.upf
La 138.91 La.upf
ATOMIC_POSITIONS crystal
Sr 0.000 0.000 0.000
Li 0.250 0.250 0.250
Li 0.500 0.500 0.500
La 0.750 0.750 0.750
CELL_PARAMETERS angstrom
0.000 3.980 3.980
3.980 0.000 3.980
3.980 3.980 0.000
```

As for the space group: No. 216.


The following is a DFT calculation (PBE-GGA) of crystalline SrLi2La at its relaxed geometry. Values from VASP.

The structure in Quantum ESPRESSO input format:
```
&SYSTEM
  ibrav = 0, nat = 4, ntyp = 3
/
ATOMIC_SPECIES
Sr 87.62 Sr.upf
Li 6.94 Li.upf
La 138.91 La.upf
ATOMIC_POSITIONS crystal
Sr 0.000 0.000 0.000
Li 0.273 0.000 0.536
Li 0.406 0.500 0.817
La 0.696 0.500 0.384
CELL_PARAMETERS angstrom
3.831 0.000 0.000
0.000 5.490 0.000
-1.873 0.000 6.422
```

As for the space group: No. 6.


The following is a DFT calculation (PBE-GGA) of crystalline Sr2LiLa at its relaxed geometry. Values from VASP.

The structure in Quantum ESPRESSO input format:
```
&SYSTEM
  ibrav = 0, nat = 4, ntyp = 3
/
ATOMIC_SPECIES
Sr 87.62 Sr.upf
Li 6.94 Li.upf
La 138.91 La.upf
ATOMIC_POSITIONS crystal
Sr 0.000 0.000 0.000
Sr 0.177 0.177 0.177
Li 0.589 0.589 0.589
La 0.754 0.754 0.754
CELL_PARAMETERS angstrom
1.994 1.151 12.237
-1.994 1.151 12.237
0.000 -2.302 12.237
```

As for the space group: No. 160.


The following is a DFT calculation (PBE-GGA) of crystalline Sr3LiLa at its relaxed geometry. Values from VASP.

The structure in Quantum ESPRESSO input format:
```
&SYSTEM
  ibrav = 0, nat = 5, ntyp = 3
/
ATOMIC_SPECIES
Sr 87.62 Sr.upf
Li 6.94 Li.upf
La 138.91 La.upf
ATOMIC_POSITIONS crystal
Sr 0.000 0.000 0.500
Sr 0.000 0.500 0.000
Sr 0.500 0.000 0.000
Li 0.500 0.500 0.500
La 0.000 0.000 0.000
CELL_PARAMETERS angstrom
6.553 0.000 0.000
0.000 6.553 0.000
0.000 0.000 6.553
```

As for the space group: No. 221.


Result set for calculated total energy: -2.23; -2.26; -2.37; -2.47; -2.35; -2.47; -2.40; -1.63 eV/atom, one per record in the order listed.
Result set for Fermi-level density of states: 1.42; 0.64; 1.01; 1.33; 1.13; 1.08; 1.18; 1.53 states/eV/atom, one per record in the order listed.
Result set for polymorph energy (0 for the lowest one): 210; 253; 138; 42; 165; 46; 40; 405 meV per atom, one per record in the order listed.